1.
VASP calculation (GGA-PBE) on crystalline CeSc2Fe at its relaxed geometry.

Properties
Calculated formation energy = -0.105 eV/atom

abc: 5.8446 5.8446 9.0285
angles: 90.00 90.00 145.46
Sites, in units of the cell vectors:
1 Ce 0.0870 0.9130 0.7500
2 Ce 0.9130 0.0870 0.2500
3 Sc 0.3554 0.6446 0.5727
4 Sc 0.3554 0.6446 0.9273
5 Sc 0.6446 0.3554 0.0727
6 Sc 0.6446 0.3554 0.4273
7 Fe 0.2714 0.7286 0.2500
8 Fe 0.7286 0.2714 0.7500

2.
VASP calculation (GGA-PBE) on crystalline CeScFeTc at its relaxed geometry.

Properties
Calculated formation energy = -0.053 eV/atom

abc: 4.6526 4.6526 4.6526
angles: 60.00 60.00 60.00
Sites, in units of the cell vectors:
1 Ce 0.0000 0.0000 0.0000
2 Sc 0.5000 0.5000 0.5000
3 Fe 0.2500 0.2500 0.2500
4 Tc 0.7500 0.7500 0.7500

3.
VASP calculation (GGA-PBE) on crystalline CeScZnFe at its relaxed geometry.

Properties
Calculated formation energy = -0.074 eV/atom

abc: 4.7826 4.7826 4.7826
angles: 60.00 60.00 60.00
Sites, in units of the cell vectors:
1 Ce 0.0000 0.0000 0.0000
2 Sc 0.5000 0.5000 0.5000
3 Zn 0.2500 0.2500 0.2500
4 Fe 0.7500 0.7500 0.7500

4.
VASP calculation (GGA-PBE) on crystalline CeFeSe at its relaxed geometry.

Properties
Formation energy from raw total energies = -758 meV/atom

abc: 8.1665 8.1665 3.9871
angles: 90.27 90.27 151.42
Sites, in units of the cell vectors:
1 Ce 0.1099 0.8901 0.5000
2 Ce 0.8901 0.1099 0.0000
3 Fe 0.3169 0.4006 0.3011
4 Fe 0.4006 0.3169 0.8011
5 Se 0.3479 0.7022 0.5282
6 Se 0.7022 0.3479 0.0282

Summary of total magnetic moment in μB/cell
0.0, 0.8, 0.4, 0.0
(order as listed above)
Summary of DFT total energy in eV per atom
-6.870, -7.827, -5.575, -6.718
(order as listed above)
Summary of DOS(E_F) in states/eV per atom
1.7328, 1.0352, 1.2111, 0.6825
(order as listed above)